DFT (GGA-PBE) results for a geometry-optimized Tc2AgTe structure.

Symmetry   P4mm (99)
ΔE_f (raw)   0.361 eV per atom
D(E_F)   1.153 states/eV per atom

a b c (Å): 3.000 3.000 8.386
angles (deg): 90.00 90.00 90.00
Fractional positions:
1 Tc 0.000 0.000 0.037
2 Ag 0.500 0.500 0.790
3 Tc 0.500 0.500 0.217
4 Te 0.000 0.000 0.456

DFT (GGA-PBE) results for a geometry-optimized BeFeOs structure.

Symmetry   C2/m (12)
Formation enthalpy at 0 K   -0.0235 eV/atom
D(E_F)   0.687 states/eV per atom

a b c (Å): 2.658 4.843 5.475
angles (deg): 105.16 90.04 105.92
Fractional positions:
1 Os 0.394 0.895 0.661
2 Be 0.033 0.172 0.437
3 Os 0.342 0.791 0.128
4 Fe 0.681 0.469 0.763
5 Fe 0.055 0.217 0.026
6 Be 0.705 0.515 0.353

DFT (GGA-PBE) results for a geometry-optimized KSrC2O6 structure.

Symmetry   C2/c (15)
ΔE_f (raw)   -1.847 eV per atom
D(E_F)   0.463 states/eV per atom

a b c (Å): 6.837 6.837 7.340
angles (deg): 103.70 103.70 99.12
Fractional positions:
1 O 0.952 0.405 0.194
2 C 0.861 0.619 0.764
3 C 0.381 0.139 0.736
4 Sr 0.398 0.602 0.750
5 O 0.281 0.516 0.381
6 O 0.048 0.595 0.806
7 O 0.595 0.048 0.306
8 O 0.190 0.229 0.132
9 K 0.135 0.865 0.250
10 O 0.771 0.810 0.368
11 O 0.719 0.484 0.619
12 O 0.405 0.952 0.694
13 C 0.619 0.861 0.264
14 O 0.484 0.719 0.119
15 Sr 0.602 0.398 0.250
16 O 0.516 0.281 0.881
17 C 0.139 0.381 0.236
18 O 0.810 0.771 0.868
19 K 0.865 0.135 0.750
20 O 0.229 0.190 0.632

DFT (GGA-PBE) results for a geometry-optimized CsKOF2 structure.

Symmetry   P4/mmm (123)
ΔE_f (raw)   -1.316 eV per atom
D(E_F)   0.634 states/eV per atom

a b c (Å): 5.240 5.240 4.483
angles (deg): 90.00 90.00 90.00
Fractional positions:
1 Cs 0.000 0.000 0.000
2 K 0.500 0.500 0.500
3 F 0.000 0.500 0.000
4 O 0.000 0.000 0.500
5 F 0.500 0.000 0.000

Q: What is the D(E_F) in the first record?
A: 1.153 states/eV per atom